[1]
# LiMgMn4 (GGA-PBE, optimized geometry)
# - calculated volume (A^3/atom) = 12.7
# - VASP energy (eV per atom) = -6.339
# - calculated formation energy (eV/atom) = 0.358
# - total magnetization (μB/cell) = 0.00
data_LiMgMn4
_symmetry_space_group_name_H-M 'F -4 3 m'
_symmetry_Int_Tables_number 216
_symmetry_space_group_name_Hall 'F -4 2 3'
_cell_length_a 6.733
_cell_length_b 6.733
_cell_length_c 6.733
_cell_angle_alpha 90.00
_cell_angle_beta 90.00
_cell_angle_gamma 90.00
loop_
_atom_site_label
_atom_site_fract_x
_atom_site_fract_y
_atom_site_fract_z
Li1 0.000 0.000 0.000
Mg1 0.250 0.250 0.250
Mn1 0.126 0.126 0.626


[2]
# Li2MgMn (GGA-PBE, optimized geometry)
# - calculated volume (A^3/atom) = 17.9
# - VASP energy (eV per atom) = -3.414
# - calculated formation energy (eV/atom) = 0.233
# - total magnetization (μB/cell) = 8.16
data_Li2MgMn
_symmetry_space_group_name_H-M 'I 4/m m m'
_symmetry_Int_Tables_number 139
_symmetry_space_group_name_Hall '-I 4 2'
_cell_length_a 4.186
_cell_length_b 4.186
_cell_length_c 8.190
_cell_angle_alpha 90.00
_cell_angle_beta 90.00
_cell_angle_gamma 90.00
loop_
_atom_site_label
_atom_site_fract_x
_atom_site_fract_y
_atom_site_fract_z
Li1 0.000 0.500 0.250
Mg1 0.000 0.000 0.000
Mn1 0.000 0.000 0.500


[3]
# LiMg2Mn (GGA-PBE, optimized geometry)
# - calculated volume (A^3/atom) = 19.0
# - VASP energy (eV per atom) = -3.399
# - calculated formation energy (eV/atom) = 0.169
# - total magnetization (μB/cell) = 10.20
data_LiMg2Mn
_symmetry_space_group_name_H-M 'R -3 m'
_symmetry_Int_Tables_number 166
_symmetry_space_group_name_Hall '-R 3 2"'
_cell_length_a 3.0000
_cell_length_b 3.0000
_cell_length_c 29.2561
_cell_angle_alpha 90.00
_cell_angle_beta 90.00
_cell_angle_gamma 120.00
loop_
_atom_site_label
_atom_site_fract_x
_atom_site_fract_y
_atom_site_fract_z
Li1 0.0000 0.0000 0.0000
Mg1 0.0000 0.0000 0.2462
Mn1 0.0000 0.0000 0.5000


[4]
# LiMg2Mn (GGA-PBE, optimized geometry)
# - calculated volume (A^3/atom) = 18.4
# - VASP energy (eV per atom) = -3.436
# - calculated formation energy (eV/atom) = 0.132
# - total magnetization (μB/cell) = 3.43
data_LiMg2Mn
_symmetry_space_group_name_H-M 'P 4/m m m'
_symmetry_Int_Tables_number 123
_symmetry_space_group_name_Hall '-P 4 2'
_cell_length_a 3.252
_cell_length_b 3.252
_cell_length_c 6.971
_cell_angle_alpha 90.00
_cell_angle_beta 90.00
_cell_angle_gamma 90.00
loop_
_atom_site_label
_atom_site_fract_x
_atom_site_fract_y
_atom_site_fract_z
Li1 0.000 0.000 0.000
Mg1 0.500 0.500 0.264
Mn1 0.000 0.000 0.500


[5]
# Li2MgMn (GGA-PBE, optimized geometry)
# - calculated volume (A^3/atom) = 18.1
# - VASP energy (eV per atom) = -3.397
# - calculated formation energy (eV/atom) = 0.251
# - total magnetization (μB/cell) = 3.77
data_Li2MgMn
_symmetry_space_group_name_H-M 'P 4/m m m'
_symmetry_Int_Tables_number 123
_symmetry_space_group_name_Hall '-P 4 2'
_cell_length_a 4.066
_cell_length_b 4.066
_cell_length_c 4.381
_cell_angle_alpha 90.00
_cell_angle_beta 90.00
_cell_angle_gamma 90.00
loop_
_atom_site_label
_atom_site_fract_x
_atom_site_fract_y
_atom_site_fract_z
Li1 0.000 0.500 0.000
Mg1 0.000 0.000 0.500
Mn1 0.500 0.500 0.500


[6]
# LiMg2Mn2 (GGA-PBE, optimized geometry)
# - calculated volume (A^3/atom) = 17.3
# - VASP energy (eV per atom) = -4.294
# - E above lowest polymorph (meV per atom) = 0
# - calculated formation energy (eV/atom) = 0.394
# - total magnetization (μB/cell) = 7.68
data_LiMg2Mn2
_symmetry_space_group_name_H-M 'P 4/m b m'
_symmetry_Int_Tables_number 127
_symmetry_space_group_name_Hall '-P 4 2ab'
_cell_length_a 7.665
_cell_length_b 7.665
_cell_length_c 2.938
_cell_angle_alpha 90.00
_cell_angle_beta 90.00
_cell_angle_gamma 90.00
loop_
_atom_site_label
_atom_site_fract_x
_atom_site_fract_y
_atom_site_fract_z
Li1 0.000 0.000 0.000
Mg1 0.195 0.305 0.500
Mn1 0.094 0.594 0.000


[7]
# Li2MgMn (GGA-PBE, optimized geometry)
# - calculated volume (A^3/atom) = 18.0
# - VASP energy (eV per atom) = -3.428
# - calculated formation energy (eV/atom) = 0.220
# - total magnetization (μB/cell) = 3.64
data_Li2MgMn
_symmetry_space_group_name_H-M 'P 1 2/m 1'
_symmetry_Int_Tables_number 10
_cell_length_a 2.830
_cell_length_b 4.882
_cell_length_c 5.221
_cell_angle_alpha 90.00
_cell_angle_beta 94.77
_cell_angle_gamma 90.00
loop_
_symmetry_equiv_pos_as_xyz
'x,y,z'
'-x,-y,-z'
'-x,y,-z'
'x,-y,z'
loop_
_atom_site_label
_atom_site_fract_x
_atom_site_fract_y
_atom_site_fract_z
Li1 0.245 0.000 0.264
Mg1 0.500 0.500 0.000
Mn1 0.000 0.500 0.500


[8]
# LiMg2Mn (GGA-PBE, optimized geometry)
# - calculated volume (A^3/atom) = 18.7
# - VASP energy (eV per atom) = -3.383
# - calculated formation energy (eV/atom) = 0.186
# - total magnetization (μB/cell) = 7.62
data_LiMg2Mn
_symmetry_space_group_name_H-M 'I m m 2'
_symmetry_Int_Tables_number 44
_cell_length_a 3.254
_cell_length_b 4.788
_cell_length_c 9.579
_cell_angle_alpha 90.00
_cell_angle_beta 90.00
_cell_angle_gamma 90.00
loop_
_symmetry_equiv_pos_as_xyz
'x,y,z'
'-x,-y,z'
'-x,y,z'
'x,-y,z'
'x+1/2,y+1/2,z+1/2'
'-x+1/2,-y+1/2,z+1/2'
'-x+1/2,y+1/2,z+1/2'
'x+1/2,-y+1/2,z+1/2'
loop_
_atom_site_label
_atom_site_fract_x
_atom_site_fract_y
_atom_site_fract_z
Li1 0.000 0.000 0.000
Mg1 0.000 0.000 0.485
Mg2 0.000 0.500 0.251
Mn1 0.000 0.500 0.736